(1)
TiTe2H | GGA-PBE | optimized geometry

```
4
Lattice="0.0000 3.3856 3.3856 3.3856 0.0000 3.3856 3.3856 3.3856 0.0000" Properties=species:S:1:pos:R:3 pbc="T T T"
H 0.0000 0.0000 0.0000
Te 1.6928 1.6928 1.6928
Te 5.0785 5.0785 5.0785
Ti 3.3856 3.3856 3.3856
```

Results
space-group type	Fm-3m, No. 225

***

(2)
TiTe3H | GGA-PBE | optimized geometry

```
5
Lattice="-2.2460 4.3069 2.2486 -4.1995 -0.4751 -3.2845 -2.4433 -3.1424 3.5784" Properties=species:S:1:pos:R:3 pbc="T T T"
H -4.4444 0.3447 1.2713
Te -2.0998 -0.2375 -1.6423
Te -1.2216 -1.5712 1.7892
Te -1.1230 2.1534 1.1243
Ti 0.0000 0.0000 0.0000
```

Results
space-group type	Pm-3m, No. 221

***

(3)
TiTe2H | GGA-PBE | optimized geometry

```
4
Lattice="-2.7239 1.7932 1.0781 -1.1004 -0.3279 3.2372 3.5924 6.4763 3.6611" Properties=species:S:1:pos:R:3 pbc="T T T"
Ti -0.7812 5.2093 5.7052
Te 3.0058 5.7658 3.4042
Te 0.5278 2.6948 2.2506
H 0.4922 4.7188 4.2657
```

Results
space-group type	Cm, No. 8

***

Result set for energy above the lowest structure with this stoichiometry: 648; 0; 0 meV per atom, one per record in the order listed.